Entry a
Entry from Alexandria via LeMat-Bulk: crystalline TcPb at its relaxed geometry (PBE).

It has space group P4/nmm (No. 129, origin choice 2), with a = 3.120 Å, b = 3.120 Å, c = 9.218 Å, α = 90.00°, β = 90.00° and γ = 90.00°. The distinct sites, in fractional coordinates, are Tc at (0.250, 0.250, 0.071) and Pb at (0.250, 0.250, 0.688).

---

Entry b
Entry from Alexandria via LeMat-Bulk: crystalline TcPb at its relaxed geometry (PBE).

It has space group Pm-3m (No. 221), with a = 3.365 Å, b = 3.365 Å, c = 3.365 Å, α = 90.00°, β = 90.00° and γ = 90.00°. The distinct sites, in fractional coordinates, are Tc at (0.000, 0.000, 0.000) and Pb at (0.500, 0.500, 0.500).

---

Entry c
Entry from Alexandria via LeMat-Bulk: crystalline TcPb at its relaxed geometry (PBE).

It has space group Cm (No. 8), with a = 13.111 Å, b = 3.092 Å, c = 6.950 Å, α = 90.00°, β = 115.60° and γ = 90.00°. The distinct sites, in fractional coordinates, are Tc at (0.000, 0.000, 0.000), Tc at (0.089, 0.000, 0.403), Tc at (0.408, 0.000, 0.187), Pb at (0.215, 0.500, 0.203), Pb at (0.267, 0.500, 0.746) and Pb at (0.484, 0.000, 0.633).

---

Entry d
Entry from Alexandria via LeMat-Bulk: crystalline TcPb at its relaxed geometry (PBE).

It has space group R-3m (No. 166, hexagonal axes), with a = 3.2548 Å, b = 3.2548 Å, c = 12.8424 Å, α = 90.00°, β = 90.00° and γ = 120.00°. The distinct sites, in fractional coordinates, are Tc at (0.0000, 0.0000, 0.0000) and Pb at (0.0000, 0.0000, 0.5000).

---

Which one is the least stable? From the structures above, entry d.